# 1
This record from Alexandria describes a geometry-optimized Sm2Zn7Cd structure. The functional is GGA-PBE.

- DOS at the Fermi energy (states/eV/f.u.) = 6.41
- SG = P-4m2
- mass density (g/cm3) = 7.40

Lattice parameters (Å, degrees): 4.211 4.211 11.029 90.00 90.00 90.00
Element x y z (fractional)
Sm: 0.000 0.500 0.264
Sm: 0.500 0.000 0.736
Zn: 0.000 0.500 0.628
Zn: 0.000 0.000 0.000
Zn: 0.000 0.500 0.850
Zn: 0.500 0.000 0.372
Zn: 0.500 0.500 0.500
Zn: 0.500 0.000 0.150
Zn: 0.000 0.000 0.500
Cd: 0.500 0.500 0.000

***

# 2
This record from Alexandria describes a geometry-optimized Sm3Zn2Cd7 structure. The functional is GGA-PBE.

- DOS at the Fermi energy (states/eV/f.u.) = 7.57
- SG = R-3m
- mass density (g/cm3) = 8.07

Lattice parameters (Å, degrees): 5.924 5.924 9.878 72.55 72.55 60.00
Element x y z (fractional)
Cd: 0.583 0.583 0.759
Cd: 0.074 0.583 0.759
Cd: 0.583 0.074 0.759
Cd: 0.417 0.417 0.241
Cd: 0.500 0.500 0.500
Cd: 0.417 0.926 0.241
Cd: 0.926 0.417 0.241
Zn: 0.335 0.335 0.996
Zn: 0.665 0.665 0.004
Sm: 0.000 0.000 0.000
Sm: 0.860 0.860 0.419
Sm: 0.140 0.140 0.581

***

# 3
This record from Alexandria describes a geometry-optimized Sm2ZnCd3 structure. The functional is GGA-PBE.

- DOS at the Fermi energy (states/eV/f.u.) = 4.96
- relative energy among the computed polymorphs (eV per atom) = 0.000
- SG = Pmm2
- mass density (g/cm3) = 8.00

Lattice parameters (Å, degrees): 3.453 4.956 8.527 90.00 90.00 90.00
Element x y z (fractional)
Zn: 0.500 0.500 0.333
Cd: 0.500 0.000 0.832
Cd: 0.500 0.500 0.660
Cd: 0.500 0.000 0.172
Sm: 0.000 0.000 0.493
Sm: 0.000 0.500 0.009

***

# 4
This record from Alexandria describes a geometry-optimized SmZn3Cd9 structure. The functional is GGA-PBE.

- DOS at the Fermi energy (states/eV/f.u.) = 2.00
- SG = C2/m
- mass density (g/cm3) = 8.28

Lattice parameters (Å, degrees): 5.772 7.424 7.451 81.55 67.21 67.71
Element x y z (fractional)
Cd: 0.292 0.213 0.219
Cd: 0.511 0.213 0.781
Cd: 0.000 0.500 0.000
Cd: 0.351 0.657 0.649
Cd: 0.489 0.787 0.219
Cd: 0.000 0.343 0.649
Cd: 0.708 0.787 0.781
Cd: 0.000 0.657 0.351
Cd: 0.649 0.343 0.351
Zn: 0.500 0.000 0.500
Zn: 0.000 0.000 0.500
Zn: 0.500 0.500 0.000
Sm: 0.000 0.000 0.000

***

ΔH_f (0 K) for the records above, in order: -279.6, -269.1, -187.4, -139.2 kJ/mol of formula units